Below is a geometry-optimized PrSmTlCd structure, with properties calculated at the PBE level.

Computed properties:
* total moment: 0.12 μB per atom
* space-group type: F-43m
* energy of formation: -358 meV per atom
* DOS at the Fermi energy: 5.11 states/eV/cell

a = 5.4867 Å, b = 5.4867 Å, c = 5.4867 Å
α = 60.00°, β = 60.00°, γ = 60.00°
Element x y z (fractional)
Pr 0.0000 0.0000 0.0000
Sm 0.5000 0.5000 0.5000
Tl 0.2500 0.2500 0.2500
Cd 0.7500 0.7500 0.7500

---

Below is a geometry-optimized Pr2SmTl2Cd2 structure, with properties calculated at the PBE level.

Computed properties:
* total moment: 0.00 μB per atom
* space-group type: R-3m
* energy of formation: -191 meV per atom
* DOS at the Fermi energy: 5.18 states/eV/cell

a = 9.7908 Å, b = 9.7908 Å, c = 9.7908 Å
α = 29.88°, β = 29.88°, γ = 29.88°
Element x y z (fractional)
Pr 0.1268 0.1268 0.1268
Pr 0.8732 0.8732 0.8732
Sm 0.0000 0.0000 0.0000
Tl 0.2608 0.2608 0.2608
Tl 0.7392 0.7392 0.7392
Cd 0.3911 0.3911 0.3911
Cd 0.6089 0.6089 0.6089

---

Which of these has the lowest energy of formation? PrSmTlCd